# 1
Computed, not measured: a geometry-optimized Nd2GdRu structure at the PBE level of DFT.

Output
Crystal system: trigonal
Total energy, eV per atom: -8.02

Structure (CIF):
```
data_Nd2GdRu
_chemical_formula_sum 'Nd6 Gd3 Ru3'
_cell_length_a 3.6587
_cell_length_b 3.6587
_cell_length_c 31.9038
_cell_angle_alpha 90.00
_cell_angle_beta 90.00
_cell_angle_gamma 120.00
_space_group_name_H-M_alt 'R -3 m'
_space_group_IT_number 166
_space_group_name_Hall '-R 3 2"'
loop_
_atom_site_label
_atom_site_fract_x
_atom_site_fract_y
_atom_site_fract_z
Nd1 0.0000 0.0000 0.1074
Gd1 0.0000 0.0000 0.0000
Ru1 0.0000 0.0000 0.5000
```

***

# 2
Computed, not measured: a geometry-optimized Mg3ZrCd6 structure at the PBE level of DFT.

Output
Crystal system: monoclinic
Total energy, eV per atom: -1.97

Structure (CIF):
```
data_Mg3ZrCd6
_chemical_formula_sum 'Mg6 Zr2 Cd12'
_cell_length_a 9.6129
_cell_length_b 4.4973
_cell_length_c 10.0284
_cell_angle_alpha 90.00
_cell_angle_beta 93.71
_cell_angle_gamma 90.00
_space_group_name_H-M_alt 'P 1 21/m 1'
_space_group_IT_number 11
loop_
_space_group_symop_operation_xyz
'x,y,z'
'-x,-y,-z'
'-x,y+1/2,-z'
'x,-y+1/2,z'
loop_
_atom_site_label
_atom_site_fract_x
_atom_site_fract_y
_atom_site_fract_z
Mg1 0.0581 0.2500 0.4025
Mg2 0.1569 0.7500 0.1943
Mg3 0.2512 0.2500 0.9852
Zr1 0.4457 0.2500 0.5988
Cd1 0.0401 0.7500 0.8986
Cd2 0.1385 0.2500 0.6947
Cd3 0.2485 0.7500 0.4970
Cd4 0.3473 0.7500 0.8009
Cd5 0.3526 0.2500 0.2931
Cd6 0.4474 0.7500 0.0988
```

***

# 3
Computed, not measured: a geometry-optimized La8Pr6Tm structure at the PBE level of DFT.

Output
Crystal system: trigonal
Total energy, eV per atom: -4.71

Structure (CIF):
```
data_La8Pr6Tm
_chemical_formula_sum 'La24 Pr18 Tm3'
_cell_length_a 10.1226
_cell_length_b 10.1226
_cell_length_c 18.4024
_cell_angle_alpha 90.00
_cell_angle_beta 90.00
_cell_angle_gamma 120.00
_space_group_name_H-M_alt 'R -3'
_space_group_IT_number 148
_space_group_name_Hall '-R 3'
loop_
_atom_site_label
_atom_site_fract_x
_atom_site_fract_y
_atom_site_fract_z
La1 0.0000 0.0000 0.0859
La2 0.0550 0.2371 0.6695
Pr1 0.0428 0.2859 0.1743
Tm1 0.0000 0.0000 0.5000
```